# 1
Entry from OQMD via LeMat-Bulk: crystalline LiTaAl at its relaxed geometry (PBE).

a b c (Å): 6.2190 6.2190 6.2190
angles (deg): 90.00 90.00 90.00
Fractional coordinates of all 12 atoms:
1 Li 0.0000 0.0000 0.0000
2 Li 0.0000 0.5000 0.5000
3 Li 0.5000 0.0000 0.5000
4 Li 0.5000 0.5000 0.0000
5 Ta 0.2500 0.2500 0.7500
6 Ta 0.2500 0.7500 0.2500
7 Ta 0.7500 0.2500 0.2500
8 Ta 0.7500 0.7500 0.7500
9 Al 0.0000 0.0000 0.5000
10 Al 0.0000 0.5000 0.0000
11 Al 0.5000 0.0000 0.0000
12 Al 0.5000 0.5000 0.5000

The value obtained for the uncorrected energy is -57.62 eV for the cell shown. Its space group is F-43m. The magnetization comes out at 0.01 μB/cell. The mass density comes out at 5.93 Mg/m³.



# 2
Entry from OQMD via LeMat-Bulk: crystalline MgNbHgIr at its relaxed geometry (PBE).

a b c (Å): 6.5541 6.5541 6.5541
angles (deg): 90.00 90.00 90.00
Fractional coordinates of all 16 atoms:
1 Mg 0.0000 0.0000 0.0000
2 Mg 0.0000 0.5000 0.5000
3 Mg 0.5000 0.0000 0.5000
4 Mg 0.5000 0.5000 0.0000
5 Nb 0.0000 0.0000 0.5000
6 Nb 0.0000 0.5000 0.0000
7 Nb 0.5000 0.0000 0.0000
8 Nb 0.5000 0.5000 0.5000
9 Hg 0.2500 0.2500 0.2500
10 Hg 0.2500 0.7500 0.7500
11 Hg 0.7500 0.2500 0.7500
12 Hg 0.7500 0.7500 0.2500
13 Ir 0.2500 0.2500 0.7500
14 Ir 0.2500 0.7500 0.2500
15 Ir 0.7500 0.2500 0.2500
16 Ir 0.7500 0.7500 0.7500

The value obtained for the uncorrected energy is -84.70 eV for the cell shown. Its space group is F-43m. The magnetization comes out at 0.01 μB/cell. The mass density comes out at 12.03 Mg/m³.



# 3
Entry from OQMD via LeMat-Bulk: crystalline ReI2 at its relaxed geometry (PBE).

a b c (Å): 6.2399 6.2399 4.2379
angles (deg): 90.00 90.00 90.00
Fractional coordinates of all 6 atoms:
1 Re 0.0000 0.0000 0.0000
2 Re 0.5000 0.5000 0.5000
3 I 0.1937 0.1937 0.5000
4 I 0.3063 0.6937 0.0000
5 I 0.6937 0.3063 0.0000
6 I 0.8063 0.8063 0.5000

The value obtained for the uncorrected energy is -26.92 eV for the cell shown. Its space group is P4_2/mnm. The magnetization comes out at 0.03 μB/cell. The mass density comes out at 8.86 Mg/m³.



# 4
Entry from OQMD via LeMat-Bulk: crystalline TbLuBi at its relaxed geometry (PBE).

a b c (Å): 7.2502 7.2502 7.2502
angles (deg): 90.00 90.00 90.00
Fractional coordinates of all 12 atoms:
1 Tb 0.0000 0.0000 0.0000
2 Tb 0.0000 0.5000 0.5000
3 Tb 0.5000 0.0000 0.5000
4 Tb 0.5000 0.5000 0.0000
5 Lu 0.0000 0.0000 0.5000
6 Lu 0.0000 0.5000 0.0000
7 Lu 0.5000 0.0000 0.0000
8 Lu 0.5000 0.5000 0.5000
9 Bi 0.2500 0.2500 0.7500
10 Bi 0.2500 0.7500 0.2500
11 Bi 0.7500 0.2500 0.2500
12 Bi 0.7500 0.7500 0.7500

The value obtained for the uncorrected energy is -55.30 eV for the cell shown. Its space group is F-43m. The magnetization comes out at 0.73 μB/cell. The mass density comes out at 9.46 Mg/m³.



# 5
Entry from OQMD via LeMat-Bulk: crystalline PrSmFe2Ge2 at its relaxed geometry (PBE).

a b c (Å): 4.1609 4.1609 6.8376
angles (deg): 90.00 90.00 90.00
Fractional coordinates of all 6 atoms:
1 Pr 0.0000 0.0000 0.0000
2 Sm 0.5000 0.5000 0.3781
3 Fe 0.0000 0.5000 0.6811
4 Fe 0.5000 0.0000 0.6811
5 Ge 0.0000 0.0000 0.4995
6 Ge 0.5000 0.5000 0.8626

The value obtained for the uncorrected energy is -38.24 eV for the cell shown. Its space group is P4mm. The magnetization comes out at 0.04 μB/cell. The mass density comes out at 7.69 Mg/m³.



# 6
Entry from OQMD via LeMat-Bulk: crystalline YNbZnCo at its relaxed geometry (PBE).

a b c (Å): 6.4683 6.4683 6.4683
angles (deg): 90.00 90.00 90.00
Fractional coordinates of all 16 atoms:
1 Y 0.0000 0.0000 0.0000
2 Y 0.0000 0.5000 0.5000
3 Y 0.5000 0.0000 0.5000
4 Y 0.5000 0.5000 0.0000
5 Nb 0.2500 0.2500 0.7500
6 Nb 0.2500 0.7500 0.2500
7 Nb 0.7500 0.2500 0.2500
8 Nb 0.7500 0.7500 0.7500
9 Zn 0.2500 0.2500 0.2500
10 Zn 0.2500 0.7500 0.7500
11 Zn 0.7500 0.2500 0.7500
12 Zn 0.7500 0.7500 0.2500
13 Co 0.0000 0.0000 0.5000
14 Co 0.0000 0.5000 0.0000
15 Co 0.5000 0.0000 0.0000
16 Co 0.5000 0.5000 0.5000

As for the formation energy: 284 meV/atom. Its space group is F-43m. The magnetization comes out at 0.04 μB/cell. The mass density comes out at 7.51 Mg/m³.



# 7
Entry from OQMD via LeMat-Bulk: crystalline Sc2GaCoNi at its relaxed geometry (PBE).

a b c (Å): 4.0317 7.5501 5.2102
angles (deg): 90.00 90.00 90.00
Fractional coordinates of all 10 atoms:
1 Sc 0.0000 0.2030 0.0000
2 Sc 0.0000 0.7970 0.0000
3 Sc 0.5000 0.2970 0.5000
4 Sc 0.5000 0.7030 0.5000
5 Ga 0.0000 0.0000 0.5071
6 Ga 0.5000 0.5000 0.0071
7 Co 0.0000 0.5000 0.2750
8 Co 0.5000 0.0000 0.7750
9 Ni 0.0000 0.5000 0.7316
10 Ni 0.5000 0.0000 0.2316

The value obtained for the uncorrected energy is -62.28 eV for the cell shown. Its space group is Imm2. The magnetization comes out at 0.00 μB/cell. The mass density comes out at 5.81 Mg/m³.



# 8
Entry from OQMD via LeMat-Bulk: crystalline TaNi2B3 at its relaxed geometry (PBE).

a b c (Å): 4.9275 3.9232 4.5251
angles (deg): 70.95 48.82 60.23
Fractional coordinates of all 6 atoms:
1 Ta 0.0000 0.0000 0.0000
2 Ni 0.2016 0.2016 0.2984
3 Ni 0.7016 0.7016 0.7984
4 B 0.2956 0.5621 0.4379
5 B 0.5621 0.2956 0.7044
6 B 0.6472 0.6472 0.3528

The value obtained for the uncorrected energy is -43.78 eV for the cell shown. Its space group is Fmm2. The magnetization comes out at 0.00 μB/cell. The mass density comes out at 9.61 Mg/m³.



# 9
Entry from OQMD via LeMat-Bulk: crystalline PrYHg6 at its relaxed geometry (PBE).

a b c (Å): 6.6644 6.6644 5.0354
angles (deg): 90.00 90.00 120.00
Fractional coordinates of all 8 atoms:
1 Pr 0.0000 0.0000 0.0000
2 Y 0.3333 0.6667 0.5000
3 Hg 0.0000 0.5000 0.0000
4 Hg 0.3421 0.1711 0.5000
5 Hg 0.5000 0.0000 0.0000
6 Hg 0.5000 0.5000 0.0000
7 Hg 0.8289 0.1711 0.5000
8 Hg 0.8289 0.6579 0.5000

As for the formation energy: -372 meV/atom. Its space group is P-6m2. The magnetization comes out at 0.00 μB/cell. The mass density comes out at 12.29 Mg/m³.



# 10
Entry from OQMD via LeMat-Bulk: crystalline In2AgPd2 at its relaxed geometry (PBE).

a b c (Å): 4.0619 4.0619 12.3813
angles (deg): 90.00 90.00 90.00
Fractional coordinates of all 10 atoms:
1 In 0.0000 0.0000 0.1102
2 In 0.0000 0.0000 0.8898
3 In 0.5000 0.5000 0.3898
4 In 0.5000 0.5000 0.6102
5 Ag 0.0000 0.0000 0.5000
6 Ag 0.5000 0.5000 0.0000
7 Pd 0.0000 0.5000 0.2500
8 Pd 0.0000 0.5000 0.7500
9 Pd 0.5000 0.0000 0.2500
10 Pd 0.5000 0.0000 0.7500

The value obtained for the uncorrected energy is -38.40 eV for the cell shown. Its space group is I4/mmm. The mass density comes out at 8.95 Mg/m³.



# 11
Entry from OQMD via LeMat-Bulk: crystalline ErAgTeO at its relaxed geometry (PBE).

a b c (Å): 7.7420 6.3386 6.2135
angles (deg): 90.00 92.83 90.00
Fractional coordinates of all 16 atoms:
1 Er 0.0838 0.0104 0.2548
2 Er 0.0838 0.4896 0.7548
3 Er 0.9162 0.5104 0.2452
4 Er 0.9162 0.9896 0.7452
5 Ag 0.4068 0.7089 0.5058
6 Ag 0.4068 0.7911 0.0058
7 Ag 0.5932 0.2089 0.9942
8 Ag 0.5932 0.2911 0.4942
9 Te 0.3134 0.0802 0.7017
10 Te 0.3134 0.4198 0.2017
11 Te 0.6866 0.5802 0.7983
12 Te 0.6866 0.9198 0.2983
13 O 0.0245 0.7377 0.5040
14 O 0.0245 0.7623 0.0040
15 O 0.9755 0.2377 0.9960
16 O 0.9755 0.2623 0.4960

The value obtained for the uncorrected energy is -87.54 eV for the cell shown. Its space group is P2_1/c. The magnetization comes out at 0.00 μB/cell. The mass density comes out at 9.13 Mg/m³.



# 12
Entry from OQMD via LeMat-Bulk: crystalline Pm3Te2Pb at its relaxed geometry (PBE).

a b c (Å): 7.7933 7.7933 7.7977
angles (deg): 99.65 99.65 120.01
Fractional coordinates of all 12 atoms:
1 Pm 0.0000 0.5000 0.5000
2 Pm 0.1629 0.3254 0.9999
3 Pm 0.3254 0.1629 0.4999
4 Pm 0.5000 0.0000 0.0000
5 Pm 0.6746 0.8371 0.5001
6 Pm 0.8371 0.6746 0.0001
7 Te 0.2515 0.7485 0.2500
8 Te 0.4169 0.5831 0.7500
9 Te 0.5831 0.4169 0.2500
10 Te 0.7485 0.2515 0.7500
11 Pb 0.0849 0.9151 0.7500
12 Pb 0.9151 0.0849 0.2500

The value obtained for the uncorrected energy is -62.69 eV for the cell shown. Its space group is C2/c. The magnetization comes out at 0.02 μB/cell. The mass density comes out at 7.71 Mg/m³.



Please write out number 12 again, unchanged.
Entry from OQMD via LeMat-Bulk: crystalline Pm3Te2Pb at its relaxed geometry (PBE).

a b c (Å): 7.7933 7.7933 7.7977
angles (deg): 99.65 99.65 120.01
Fractional coordinates of all 12 atoms:
1 Pm 0.0000 0.5000 0.5000
2 Pm 0.1629 0.3254 0.9999
3 Pm 0.3254 0.1629 0.4999
4 Pm 0.5000 0.0000 0.0000
5 Pm 0.6746 0.8371 0.5001
6 Pm 0.8371 0.6746 0.0001
7 Te 0.2515 0.7485 0.2500
8 Te 0.4169 0.5831 0.7500
9 Te 0.5831 0.4169 0.2500
10 Te 0.7485 0.2515 0.7500
11 Pb 0.0849 0.9151 0.7500
12 Pb 0.9151 0.0849 0.2500

The value obtained for the uncorrected energy is -62.69 eV for the cell shown. Its space group is C2/c. The magnetization comes out at 0.02 μB/cell. The mass density comes out at 7.71 Mg/m³.